VASP calculation (PBE-GGA) on an optimized crystal structure of PrTmAl.

Structure (CIF):
```
data_PrTmAl
_chemical_formula_sum 'Pr1 Tm1 Al1'
_space_group_name_H-M_alt 'P 1'
_space_group_IT_number 1
_space_group_name_Hall 'P 1'
_cell_length_a 3.495
_cell_length_b 3.495
_cell_length_c 7.239
_cell_angle_alpha 103.97
_cell_angle_beta 103.97
_cell_angle_gamma 90.00
loop_
_atom_site_label
_atom_site_fract_x
_atom_site_fract_y
_atom_site_fract_z
Al1 0.673 0.673 0.346
Tm1 0.311 0.311 0.622
Pr1 0.016 0.016 0.032
```

Results
SG: No. 107
total magnetic moment: 0.000 μB/f.u.
energy relative to the elements: -217 meV per atom
crystal system: tetragonal